# 1
Here is a geometry-optimized SbOF3 structure from Alexandria. Energies are from PBEsol.

Cell lengths 8.819, 8.819, 3.745 Å; angles 90.00, 90.00, 90.00 degrees
Atoms (fractional coordinates):
Sb: 0.135 0.365 0.247
Sb: 0.365 0.865 0.753
Sb: 0.635 0.135 0.753
Sb: 0.865 0.635 0.247
O: 0.113 0.387 0.747
O: 0.387 0.887 0.253
O: 0.613 0.113 0.253
O: 0.887 0.613 0.747
F: 0.099 0.599 0.247
F: 0.116 0.153 0.247
F: 0.153 0.884 0.753
F: 0.347 0.384 0.247
F: 0.384 0.653 0.753
F: 0.401 0.099 0.753
F: 0.599 0.901 0.753
F: 0.616 0.347 0.753
F: 0.653 0.616 0.247
F: 0.847 0.116 0.753
F: 0.884 0.847 0.247
F: 0.901 0.401 0.247

Calculated values
The value obtained for the mass density is 4.4 g cm⁻³. For the uncorrected formation energy, the calculation gives -1.92 eV/atom. Its crystal system is tetragonal. The calculation puts the raw total energy at -5.036 eV per atom.

# 2
Here is a geometry-optimized ZrAs structure from Alexandria. Energies are from PBEsol.

Cell lengths 3.060, 3.060, 10.460 Å; angles 90.00, 90.00, 120.00 degrees
Atoms (fractional coordinates):
Zr: 0.333 0.667 0.126
Zr: 0.667 0.333 0.874
As: 0.333 0.667 0.655
As: 0.667 0.333 0.345

Calculated values
The value obtained for the mass density is 6.5 g cm⁻³. As for the formation energy: -0.24 eV/f.u. Its crystal system is trigonal. The calculation puts the raw total energy at -7.219 eV per atom.

# 3
Here is a geometry-optimized Al6Tc structure from Alexandria. Energies are from PBEsol.

Cell lengths 5.006, 5.006, 8.978 Å; angles 90.00, 90.00, 81.68 degrees
Atoms (fractional coordinates):
Al: 0.028 0.610 0.250
Al: 0.135 0.865 0.600
Al: 0.135 0.865 0.900
Al: 0.324 0.324 0.000
Al: 0.324 0.324 0.500
Al: 0.390 0.972 0.250
Al: 0.610 0.028 0.750
Al: 0.676 0.676 0.000
Al: 0.676 0.676 0.500
Al: 0.865 0.135 0.100
Al: 0.865 0.135 0.400
Al: 0.972 0.390 0.750
Tc: 0.457 0.543 0.750
Tc: 0.543 0.457 0.250

Calculated values
The value obtained for the mass density is 3.9 g cm⁻³. As for the formation energy: -1.79 eV/f.u. Its crystal system is orthorhombic. The calculation puts the raw total energy at -5.372 eV per atom.

# 4
Here is a geometry-optimized RbTiN2O structure from Alexandria. Energies are from PBEsol.

Cell lengths 4.148, 4.148, 3.935 Å; angles 90.00, 90.00, 90.00 degrees
Atoms (fractional coordinates):
Rb: 0.000 0.000 0.000
Ti: 0.500 0.500 0.500
N: 0.000 0.500 0.500
N: 0.500 0.000 0.500
O: 0.500 0.500 0.000

Calculated values
The value obtained for the mass density is 4.3 g cm⁻³. For the uncorrected formation energy, the calculation gives -0.49 eV/atom. Its crystal system is tetragonal. The calculation puts the raw total energy at -6.817 eV per atom.

# 5
Here is a geometry-optimized Ta2BiP structure from Alexandria. Energies are from PBEsol.

Cell lengths 9.950, 9.950, 9.950 Å; angles 156.33, 156.33, 33.72 degrees
Atoms (fractional coordinates):
Ta: 0.102 0.625 0.977
Ta: 0.375 0.352 0.477
Ta: 0.648 0.125 0.023
Ta: 0.875 0.898 0.523
Bi: 0.250 0.750 0.500
Bi: 0.500 0.500 0.000
P: 0.000 0.000 0.000
P: 0.750 0.250 0.500

Calculated values
The value obtained for the mass density is 12.6 g cm⁻³. As for the formation energy: 2.13 eV/f.u. Its crystal system is tetragonal. The calculation puts the raw total energy at -8.263 eV per atom.

# 6
Here is a geometry-optimized YCrH3 structure from Alexandria. Energies are from PBEsol.

Cell lengths 4.015, 4.015, 4.015 Å; angles 90.00, 90.00, 90.00 degrees
Atoms (fractional coordinates):
Y: 0.000 0.000 0.000
Cr: 0.500 0.500 0.500
H: 0.000 0.000 0.500
H: 0.000 0.500 0.000
H: 0.500 0.000 0.000

Calculated values
The value obtained for the mass density is 3.7 g cm⁻³. Its crystal system is cubic. The calculation puts the raw total energy at -5.061 eV per atom.

# 7
Here is a geometry-optimized K2CaCdSe structure from Alexandria. Energies are from PBEsol.

Cell lengths 7.154, 7.154, 5.234 Å; angles 90.00, 90.00, 90.00 degrees
Atoms (fractional coordinates):
K: 0.000 0.500 0.000
K: 0.500 0.000 0.000
Ca: 0.000 0.000 0.000
Cd: 0.500 0.500 0.500
Se: 0.000 0.000 0.500

Calculated values
The value obtained for the mass density is 1.9 g cm⁻³. For the uncorrected formation energy, the calculation gives -0.14 eV/atom. Its crystal system is tetragonal. The calculation puts the raw total energy at -2.028 eV per atom.

# 8
Here is a geometry-optimized YNbGe3 structure from Alexandria. Energies are from PBEsol.

Cell lengths 5.100, 5.100, 5.100 Å; angles 90.00, 90.00, 90.00 degrees
Atoms (fractional coordinates):
Y: 0.000 0.000 0.000
Nb: 0.500 0.500 0.500
Ge: 0.000 0.000 0.500
Ge: 0.000 0.500 0.000
Ge: 0.500 0.000 0.000

Calculated values
The value obtained for the mass density is 5.0 g cm⁻³. As for the formation energy: 6.34 eV/f.u. Its crystal system is cubic. The calculation puts the raw total energy at -5.223 eV per atom.